(1)
Here is crystalline PuMnCdRu at its relaxed geometry from Alexandria. Energies are from GGA-PBE.

Computed properties:
The calculation puts the total energy at -133.84 eV/cell. The value obtained for the formation energy is 58 meV/atom.

Lattice parameters (Å, degrees): 6.5763 6.5763 6.5763 90.00 90.00 90.00
Space group F-43m (No. 216)
Unique sites:
Pu (0.0000, 0.0000, 0.0000) x4
Mn (0.2500, 0.2500, 0.7500) x4
Cd (0.0000, 0.0000, 0.5000) x4
Ru (0.2500, 0.2500, 0.2500) x4

---

(2)
Here is crystalline RbMnCd2 at its relaxed geometry from Alexandria. Energies are from GGA-PBE.

Computed properties:
The calculation puts the total energy at -39.31 eV/cell. The value obtained for the formation energy is 535 meV/atom. The value obtained for the energy above the most stable polymorph in this dataset is 0.069 eV/atom.

Lattice parameters (Å, degrees): 7.7257 7.7257 7.7257 90.00 90.00 90.00
Space group Fm-3m (No. 225)
Unique sites:
Rb (0.0000, 0.0000, 0.0000) x4
Mn (0.0000, 0.0000, 0.5000) x4
Cd (0.2500, 0.2500, 0.2500) x8

---

(3)
Here is crystalline RbMnCd3 at its relaxed geometry from Alexandria. Energies are from GGA-PBE.

Computed properties:
The calculation puts the total energy at -11.55 eV/cell. The value obtained for the formation energy is 266 meV/atom. The value obtained for the energy above the most stable polymorph in this dataset is 0.000 eV/atom.

Lattice parameters (Å, degrees): 5.3911 5.3911 5.3911 90.00 90.00 90.00
Space group Pm-3m (No. 221)
Unique sites:
Rb (0.0000, 0.0000, 0.0000) x1
Mn (0.5000, 0.5000, 0.5000) x1
Cd (0.0000, 0.5000, 0.5000) x3

---

(4)
Here is crystalline RbMnCd2 at its relaxed geometry from Alexandria. Energies are from GGA-PBE.

Computed properties:
The calculation puts the total energy at -40.42 eV/cell. The value obtained for the formation energy is 466 meV/atom. The value obtained for the energy above the most stable polymorph in this dataset is 0.000 eV/atom.

Lattice parameters (Å, degrees): 5.8059 5.8059 18.7181 90.00 90.00 90.00
Space group I4_1/amd (No. 141, origin choice 2)
Unique sites:
Rb (0.0000, 0.2500, 0.3750) x4
Mn (0.0000, 0.2500, 0.8750) x4
Cd (0.0000, 0.0000, 0.0000) x8

---

(5)
Here is crystalline RbMn2Cd at its relaxed geometry from Alexandria. Energies are from GGA-PBE.

Computed properties:
The calculation puts the total energy at -66.54 eV/cell. The value obtained for the formation energy is 897 meV/atom.

Lattice parameters (Å, degrees): 5.3599 5.3599 19.2177 90.00 90.00 90.00
Space group I4_1/amd (No. 141, origin choice 2)
Unique sites:
Rb (0.0000, 0.2500, 0.3750) x4
Mn (0.0000, 0.0000, 0.0000) x8
Cd (0.0000, 0.2500, 0.8750) x4

---

(6)
Here is crystalline RbMnCd3 at its relaxed geometry from Alexandria. Energies are from GGA-PBE.

Computed properties:
The calculation puts the total energy at -7.37 eV/cell. The value obtained for the formation energy is 1102 meV/atom. The value obtained for the energy above the most stable polymorph in this dataset is 0.836 eV/atom.

Lattice parameters (Å, degrees): 6.8715 6.8715 6.8715 90.00 90.00 90.00
Space group Pm-3m (No. 221)
Unique sites:
Rb (0.0000, 0.0000, 0.0000) x1
Mn (0.5000, 0.5000, 0.5000) x1
Cd (0.0000, 0.0000, 0.5000) x3

---

Computed theoretical density (g/cm³) in order:
12.0; 5.3; 5.1; 3.8; 3.7; 2.4
Computed size of the total moment (Bohr magnetons per cell) in order:
7.420; 16.758; 3.688; 16.435; 32.529; 4.478